VASP calculation (PBE) on a relaxed Mn3NbN crystal.

a = 4.747 Å, b = 4.747 Å, c = 4.747 Å
α = 90.00°, β = 90.00°, γ = 90.00°
Positions (direct):
Nb 0.000 0.000 0.000
Mn 0.000 0.500 0.000
Mn 0.000 0.000 0.500
Mn 0.500 0.000 0.000
N 0.500 0.500 0.500

Summary:
total energy = -6.84 eV per atom
N(E_F) = 5.5 states/eV per cell
symmetry = Pm-3m